The following is a PBE calculation of a relaxed ZrBeAg3 crystal, from Alexandria via LeMat-Bulk.

## Properties
uncorrected energy	-12.528	eV per cell
magnetic moment	0.4	μB per formula unit
polymorph energy (0 for the lowest one)	1.368	eV/atom
D(E_F)	0.7009	states/eV/atom

Structure (CIF):
```
data_ZrBeAg3
_cell_length_a 5.316
_cell_length_b 5.316
_cell_length_c 5.316
_cell_angle_alpha 90.00
_cell_angle_beta 90.00
_cell_angle_gamma 90.00
_space_group_name_H-M_alt 'P m -3 m'
_space_group_IT_number 221
_space_group_name_Hall '-P 4 2 3'
loop_
_atom_site_label
_atom_site_type_symbol
_atom_site_fract_x
_atom_site_fract_y
_atom_site_fract_z
Zr1 Zr 0.000 0.000 0.000
Be1 Be 0.500 0.500 0.500
Ag1 Ag 0.000 0.000 0.500
```